VASP calculation (PBE) on a geometry-optimized Pr12HoMg3 structure.

Formation energy in eV per atom: -0.01
Final energy in eV/cell: -66.8
Space group: P4/mmm
Total moment in μB per atom: 0.00

Lattice parameters (Å, degrees): 5.0935 5.0935 20.5337 90.00 90.00 90.00
Sites, in units of the cell vectors:
Pr 0.5000 0.5000 0.0000
Pr 0.5000 0.5000 0.2523
Pr 0.5000 0.5000 0.5000
Pr 0.5000 0.5000 0.7477
Pr 0.5000 0.0000 0.1276
Pr 0.5000 0.0000 0.3762
Pr 0.5000 0.0000 0.6238
Pr 0.5000 0.0000 0.8724
Pr 0.0000 0.5000 0.1276
Pr 0.0000 0.5000 0.3762
Pr 0.0000 0.5000 0.6238
Pr 0.0000 0.5000 0.8724
Ho 0.0000 0.0000 0.0000
Mg 0.0000 0.0000 0.2533
Mg 0.0000 0.0000 0.5000
Mg 0.0000 0.0000 0.7467

---

VASP calculation (PBE) on a geometry-optimized Pr8Ho6Mg structure.

Formation energy in eV per atom: 0.13
Final energy in eV/cell: -65.3
Space group: P-3
Total moment in μB per atom: 0.00

Lattice parameters (Å, degrees): 6.5658 9.4120 9.4120 120.00 90.00 90.00
Sites, in units of the cell vectors:
Pr 0.8243 0.0404 0.2780
Pr 0.8243 0.7220 0.7624
Pr 0.8243 0.2376 0.9596
Pr 0.1757 0.9596 0.7220
Pr 0.1757 0.2780 0.2376
Pr 0.1757 0.7624 0.0404
Pr 0.8638 0.3333 0.6667
Pr 0.1362 0.6667 0.3333
Ho 0.6618 0.6523 0.0974
Ho 0.6618 0.9026 0.5549
Ho 0.6618 0.4451 0.3477
Ho 0.3382 0.3477 0.9026
Ho 0.3382 0.0974 0.4451
Ho 0.3382 0.5549 0.6523
Mg 0.5000 0.0000 0.0000

---

VASP calculation (PBE) on a geometry-optimized PrHoMg4 structure.

Formation energy in eV per atom: -0.08
Final energy in eV/cell: -16.2
E above lowest polymorph in eV/atom: 0.007
Space group: Immm
Total moment in μB per atom: 0.00

Lattice parameters (Å, degrees): 5.2698 6.2449 6.2487 94.22 65.06 65.04
Sites, in units of the cell vectors:
Pr 0.5000 0.5000 0.5000
Ho 0.0000 0.0000 0.0000
Mg 0.7484 0.5852 0.9179
Mg 0.2516 0.4148 0.0821
Mg 0.2514 0.0823 0.4148
Mg 0.7486 0.9177 0.5852

---

VASP calculation (PBE) on a geometry-optimized Pr6HoMg2 structure.

Formation energy in eV per atom: 0.05
Final energy in eV/cell: -36.0
E above lowest polymorph in eV/atom: 0.016
Space group: C222
Total moment in μB per atom: 0.00

Lattice parameters (Å, degrees): 6.2327 6.1785 8.8696 90.00 90.00 120.29
Sites, in units of the cell vectors:
Pr 0.8256 0.6513 0.0000
Pr 0.3414 0.1691 0.6637
Pr 0.8278 0.1691 0.3363
Pr 0.1744 0.3487 0.0000
Pr 0.6586 0.8309 0.6637
Pr 0.1722 0.8309 0.3363
Ho 0.5000 0.0000 0.0000
Mg 0.0000 0.5000 0.6708
Mg 0.5000 0.5000 0.3292

---

Number 4 is which compound? Pr6HoMg2